This record from Alexandria via LeMat-Bulk describes an optimized crystal structure of Nb3InCl. The functional is PBE.

Summary:
- Calculated density: 7.31 g/cm3
- Formation energy (no corrections): 465 meV/atom
- V: 97 Å³/cell

a = 4.602 Å, b = 4.602 Å, c = 4.602 Å
α = 90.00°, β = 90.00°, γ = 90.00°
Fractional positions:
Nb: 0.000 0.000 0.500
Nb: 0.000 0.500 0.000
Nb: 0.500 0.000 0.000
In: 0.500 0.500 0.500
Cl: 0.000 0.000 0.000